Entry 1:
! LiTa2Cu | Alexandria | SCAN | PBEsol geometry; values from VASP
&SYSTEM
  ibrav = 0, nat = 4, ntyp = 3
/
ATOMIC_SPECIES
Li 6.94 Li.upf
Ta 180.95 Ta.upf
Cu 63.55 Cu.upf
CELL_PARAMETERS angstrom
3.8828 0.0000 0.0000
0.0000 3.8828 0.0000
0.0000 0.0000 3.8940
ATOMIC_POSITIONS angstrom
Li 0.0000 0.0000 0.0000
Ta 0.0000 1.9414 1.9470
Ta 1.9414 0.0000 1.9470
Cu 1.9414 1.9414 0.0000
! DFT formation energy, eV/atom: 0.31
! Energy above the lowest structure with this stoichiometry, eV/f.u.: 0.00
! Symmetry: P4/mmm
! Total moment, μB per formula unit: 0.000
! Calculated volume, Å³ per atom: 14.68

***

Entry 2:
! LiCu2Tc | Alexandria | SCAN | PBEsol geometry; values from VASP
&SYSTEM
  ibrav = 0, nat = 4, ntyp = 3
/
ATOMIC_SPECIES
Li 6.94 Li.upf
Cu 63.55 Cu.upf
Tc 98.00 Tc.upf
CELL_PARAMETERS angstrom
0.0000 2.9188 2.9188
2.9188 0.0000 2.9188
2.9188 2.9188 0.0000
ATOMIC_POSITIONS angstrom
Li 0.0000 0.0000 0.0000
Cu 1.4594 1.4594 1.4594
Cu 4.3781 4.3781 4.3781
Tc 2.9188 2.9188 2.9188
! DFT formation energy, eV/atom: 0.33
! Energy above the lowest structure with this stoichiometry, eV/f.u.: 0.95
! Symmetry: Fm-3m
! Total moment, μB per formula unit: 2.000
! Calculated volume, Å³ per atom: 12.43

***

Entry 3:
! LiCu2Tc | Alexandria | SCAN | PBEsol geometry; values from VASP
&SYSTEM
  ibrav = 0, nat = 4, ntyp = 3
/
ATOMIC_SPECIES
Li 6.94 Li.upf
Cu 63.55 Cu.upf
Tc 98.00 Tc.upf
CELL_PARAMETERS angstrom
2.4497 0.0000 0.0000
0.0000 4.3702 0.0000
-0.0028 0.0000 4.6236
ATOMIC_POSITIONS angstrom
Li 0.0000 0.0000 0.0000
Cu 1.2154 2.1851 3.9923
Cu 1.2176 0.0000 2.3365
Tc 2.4417 2.1851 1.7007
! DFT formation energy, eV/atom: 0.10
! Energy above the lowest structure with this stoichiometry, eV/f.u.: 0.06
! Symmetry: Pm
! Total moment, μB per formula unit: 0.000
! Calculated volume, Å³ per atom: 12.37

***

Entry 4:
! LiCu2Tc | Alexandria | SCAN | PBEsol geometry; values from VASP
&SYSTEM
  ibrav = 0, nat = 4, ntyp = 3
/
ATOMIC_SPECIES
Li 6.94 Li.upf
Cu 63.55 Cu.upf
Tc 98.00 Tc.upf
CELL_PARAMETERS angstrom
2.7705 -3.6566 0.0000
2.7705 3.6566 0.0000
0.0000 0.0000 2.4549
ATOMIC_POSITIONS angstrom
Li 0.0000 0.0000 0.0000
Cu 1.3853 1.8283 1.2275
Cu 1.3853 -1.8283 1.2275
Tc 2.7705 0.0000 0.0000
! DFT formation energy, eV/atom: 0.09
! Energy above the lowest structure with this stoichiometry, eV/f.u.: 0.00
! Symmetry: Cmmm
! Total moment, μB per formula unit: 0.709
! Calculated volume, Å³ per atom: 12.43

***

Entry 5:
! LiCu2Tc | Alexandria | SCAN | PBEsol geometry; values from VASP
&SYSTEM
  ibrav = 0, nat = 4, ntyp = 3
/
ATOMIC_SPECIES
Li 6.94 Li.upf
Cu 63.55 Cu.upf
Tc 98.00 Tc.upf
CELL_PARAMETERS angstrom
2.4977 0.0000 0.0000
0.0000 2.4977 0.0000
0.0000 0.0000 7.9709
ATOMIC_POSITIONS angstrom
Li 0.0000 0.0000 0.0000
Cu 0.0000 0.0000 3.7815
Cu 1.2488 1.2488 1.9821
Tc 1.2488 1.2488 5.7962
! DFT formation energy, eV/atom: 0.14
! Energy above the lowest structure with this stoichiometry, eV/f.u.: 0.22
! Symmetry: P4mm
! Total moment, μB per formula unit: 0.000
! Calculated volume, Å³ per atom: 12.43

***

Entry 6:
! LiCuTe2 | Alexandria | SCAN | PBEsol geometry; values from VASP
&SYSTEM
  ibrav = 0, nat = 4, ntyp = 3
/
ATOMIC_SPECIES
Li 6.94 Li.upf
Cu 63.55 Cu.upf
Te 127.60 Te.upf
CELL_PARAMETERS angstrom
-1.9409 1.9409 5.4826
1.9409 -1.9409 5.4826
1.9409 1.9409 -5.4826
ATOMIC_POSITIONS angstrom
Li 0.0000 0.0000 0.0000
Cu 1.9409 0.0000 2.7413
Te 0.0000 0.0000 5.4826
Te 0.0000 1.9409 2.7413
! ΔE_f (raw), eV per formula unit: -0.4
! Symmetry: I-4m2
! Total moment, μB per formula unit: 0.000
! Calculated volume, Å³ per atom: 20.65